Arrangement a

The following is a PBE calculation of a geometry-optimized FeCo7 structure, from Alexandria.

Cell and atoms, written as POSCAR:
```
FeCo7
1.0
-5.537 -0.907 -4.019
-5.756 -3.637 -1.133
-6.888 0.110 -0.418
Co Fe
7 1
Cartesian
-18.110 -4.417 -5.549 Co
-2.187 -0.533 -0.670 Co
-4.514 -1.101 -1.383 Co
-6.818 -1.663 -2.089 Co
-9.122 -2.225 -2.795 Co
-11.449 -2.792 -3.508 Co
-13.706 -3.343 -4.199 Co
-15.908 -3.880 -4.874 Fe
```

Summary:
As for the theoretical density: 8.72 Mg/m³. The crystal system is trigonal.



Arrangement b

The following is a PBE calculation of a geometry-optimized FeCo7 structure, from Alexandria.

Cell and atoms, written as POSCAR:
```
FeCo7
1.0
-1.752 -1.805 2.442
-0.231 -2.758 -2.204
6.144 -2.538 2.532
Co Fe
7 1
Cartesian
0.025 -0.010 0.010 Co
0.660 -1.537 1.854 Co
3.047 -1.259 1.256 Co
3.732 -2.806 3.120 Co
-0.966 -2.292 0.129 Co
1.421 -2.013 -0.469 Co
2.055 -3.540 1.375 Co
4.492 -3.282 0.797 Fe
```

Summary:
As for the theoretical density: 8.82 Mg/m³. The crystal system is orthorhombic.



Energy relative to the most stable one, in meV per atom: arrangement a 38; arrangement b 0